No. 1
DFT (GGA-PBE) results for Mg3Zn4Ag2 after structural relaxation.

Cell: 4.5355 5.4607 6.9896 Å, 101.43 108.93 90.00°
Last column: nearest neighbours and their distance in Å.
Fractional coordinates of all 9 atoms:
Mg 0.1605 0.5525 0.3209  6 Zn 2.78-3.09, 3 Ag 2.87-2.90
Mg 0.8395 0.4475 0.6791  6 Zn 2.78-3.09, 3 Ag 2.87-2.90
Mg 0.0000 0.0000 0.0000  4 Ag 2.90, 6 Zn 2.99-3.03
Zn 0.5674 0.7026 0.1348  2 Zn 2.53-2.65, 2 Ag 2.67-2.73, 2 Mg 2.78
Zn 0.2310 0.1053 0.4620  3 Zn 2.64-2.65, 1 Mg 2.79, 3 Ag 2.80-2.85
Zn 0.4326 0.2974 0.8652  2 Zn 2.53-2.65, 2 Ag 2.67-2.73, 2 Mg 2.78
Zn 0.7690 0.8947 0.5380  3 Zn 2.64-2.65, 1 Mg 2.79, 3 Ag 2.80-2.85
Ag 0.6240 0.2130 0.2480  6 Zn 2.67-2.92, 5 Mg 2.87-2.90
Ag 0.3760 0.7870 0.7520  6 Zn 2.67-2.92, 5 Mg 2.87-2.90

Properties
Total energy: -1.8274 eV per atom
Symmetry: C2/m, No. 12


No. 2
DFT (GGA-PBE) results for Mg2ZrTa after structural relaxation.

Cell: 5.3852 5.3852 5.3852 Å, 133.17 133.17 68.39°
Last column: nearest neighbours and their distance in Å.
Fractional coordinates of all 4 atoms:
Mg 0.0000 0.0000 0.0000  4 Ta 3.03, 4 Zr 3.09, 4 Mg 3.09
Mg 0.2500 0.7500 0.5000  4 Zr 3.03, 4 Ta 3.09, 4 Mg 3.09
Ta 0.5000 0.5000 0.0000  8 Mg 3.03-3.09, 4 Zr 3.09
Zr 0.7500 0.2500 0.5000  8 Mg 3.03-3.09, 4 Ta 3.09

Properties
Total energy: -5.5937 eV per atom
ΔE to the lowest computed polymorph: 0.209 eV per atom
Symmetry: I-4m2, No. 119


No. 3
DFT (GGA-PBE) results for Rb2Al2Sb3 after structural relaxation.

Cell: 4.6308 10.1461 11.4035 Å, 75.32 78.29 76.81°
Last column: nearest neighbours and their distance in Å.
Fractional coordinates of all 14 atoms:
Rb 0.2643 0.1260 0.3453  6 Sb 3.58-3.80
Rb 0.7357 0.8740 0.6547  6 Sb 3.58-3.80
Rb 0.3760 0.2715 0.9765  7 Sb 3.68-3.94, 3 Al 3.82-4.05, 1 Rb 4.06
Rb 0.6240 0.7285 0.0235  7 Sb 3.68-3.94, 3 Al 3.82-4.05, 1 Rb 4.06
Al 0.0193 0.2534 0.7080  4 Sb 2.74-2.81
Al 0.9807 0.7466 0.2920  4 Sb 2.74-2.81
Al 0.4241 0.5169 0.6349  4 Sb 2.75-2.83
Al 0.5759 0.4831 0.3651  4 Sb 2.75-2.83
Sb 0.0631 0.0024 0.8714  1 Al 2.74, 1 Sb 2.86
Sb 0.9369 0.9976 0.1286  1 Al 2.74, 1 Sb 2.86
Sb 0.1383 0.4934 0.2301  3 Al 2.74-2.75
Sb 0.8617 0.5066 0.7699  3 Al 2.74-2.75
Sb 0.4117 0.7414 0.4353  4 Al 2.78-2.83
Sb 0.5883 0.2586 0.5647  4 Al 2.78-2.83

Properties
Total energy: -3.4077 eV per atom
Energy relative to the elements, uncorrected: -199 kJ/mol of formula units
Symmetry: C2/m, No. 12


No. 4
DFT (GGA-PBE) results for Tb3ErTl3Se8 after structural relaxation.

Cell: 8.3442 8.3449 9.0382 Å, 117.49 90.00 120.00°
Last column: nearest neighbours and their distance in Å.
Fractional coordinates of all 15 atoms:
Tb 0.5000 0.0000 0.5000  6 Se 2.88-2.90
Tb 0.5000 0.5000 0.5000  6 Se 2.89
Tb 0.0000 0.5000 0.5000  6 Se 2.89
Er 0.0000 0.0000 0.5000  6 Se 2.86
Tl 0.0000 0.0000 0.0000  6 Se 3.28-3.29
Tl 0.0000 0.5000 0.0000  6 Se 3.28-3.29
Tl 0.5000 0.5000 0.0000  6 Se 3.28-3.29
Se 0.2633 0.5266 0.2911  3 Tb 2.89-2.90
Se 0.7367 0.4734 0.7089  3 Tb 2.89-2.90
Se 0.7660 0.5320 0.2935  1 Er 2.86, 2 Tb 2.89
Se 0.2340 0.4680 0.7065  1 Er 2.86, 2 Tb 2.89
Se 0.7658 0.0276 0.2943  1 Er 2.86, 2 Tb 2.88-2.89
Se 0.2342 0.9724 0.7057  1 Er 2.86, 2 Tb 2.88-2.89
Se 0.2618 0.0276 0.2943  1 Er 2.86, 2 Tb 2.88-2.89
Se 0.7382 0.9724 0.7057  1 Er 2.86, 2 Tb 2.88-2.89

Properties
Total energy: -4.9574 eV per atom
Energy relative to the elements, uncorrected: -2020 kJ/mol of formula units
Symmetry: R-3m, No. 166


No. 5
DFT (GGA-PBE) results for LaOF after structural relaxation.

Cell: 7.1770 7.1770 7.1770 Å, 32.87 32.87 32.87°
Last column: nearest neighbours and their distance in Å.
Fractional coordinates of all 6 atoms:
La 0.7413 0.7413 0.7413  4 O 2.40-2.43, 4 F 2.59-2.64
La 0.2587 0.2587 0.2587  4 O 2.40-2.43, 4 F 2.59-2.64
O 0.6233 0.6233 0.6233  4 La 2.40-2.43
O 0.3767 0.3767 0.3767  4 La 2.40-2.43
F 0.1288 0.1288 0.1288  4 La 2.59-2.64, 3 F 2.81
F 0.8712 0.8712 0.8712  4 La 2.59-2.64, 3 F 2.81

Properties
Total energy: -7.8007 eV per atom
Energy relative to the elements, uncorrected: -1124 kJ/mol of formula units
Symmetry: R-3m, No. 166


No. 6
DFT (GGA-PBE) results for Rb2LaUSe6 after structural relaxation.

Cell: 7.9446 7.9481 11.2377 Å, 90.00 90.00 90.00°
Last column: nearest neighbours and their distance in Å.
Fractional coordinates of all 20 atoms:
Rb 0.5000 0.7505 0.2500  12 Se 3.96-3.99
Rb 0.0000 0.2495 0.7500  12 Se 3.96-3.99
Rb 0.5000 0.7505 0.7500  12 Se 3.96-3.99
Rb 0.0000 0.2495 0.2500  12 Se 3.96-3.99
La 0.0000 0.7486 0.5000  6 Se 2.94
La 0.5000 0.2514 0.0000  6 Se 2.94
U 0.5000 0.2487 0.5000  6 Se 2.67-2.68
U 0.0000 0.7513 0.0000  6 Se 2.67-2.68
Se 0.5000 0.2488 0.2620  1 U 2.67, 1 La 2.94
Se 0.5000 0.2488 0.7380  1 U 2.67, 1 La 2.94
Se 0.0000 0.7512 0.2380  1 U 2.67, 1 La 2.94
Se 0.0000 0.7512 0.7620  1 U 2.67, 1 La 2.94
Se 0.2623 0.0104 0.5000  1 U 2.67, 1 La 2.94
Se 0.7377 0.0104 0.5000  1 U 2.67, 1 La 2.94
Se 0.2616 0.4864 0.5000  1 U 2.68, 1 La 2.94
Se 0.7384 0.4864 0.5000  1 U 2.68, 1 La 2.94
Se 0.7616 0.5136 0.0000  1 U 2.68, 1 La 2.94
Se 0.2384 0.5136 0.0000  1 U 2.68, 1 La 2.94
Se 0.2377 0.9896 0.0000  1 U 2.67, 1 La 2.94
Se 0.7623 0.9896 0.0000  1 U 2.67, 1 La 2.94

Properties
Total energy: -5.1565 eV per atom
Energy relative to the elements, uncorrected: -1207 kJ/mol of formula units
Symmetry: Pmmn, No. 59


No. 7
DFT (GGA-PBE) results for Nd2Ni15Sn2 after structural relaxation.

Cell: 6.4691 6.4691 6.4691 Å, 82.64 82.64 82.64°
Last column: nearest neighbours and their distance in Å.
Fractional coordinates of all 19 atoms:
Nd 0.3558 0.3558 0.3558  12 Ni 2.96-3.13, 1 Sn 3.09
Nd 0.6442 0.6442 0.6442  12 Ni 2.96-3.13, 1 Sn 3.09
Ni 0.5000 0.0000 0.0000  8 Ni 2.47-2.48, 2 Sn 2.57
Ni 0.0000 0.0000 0.5000  8 Ni 2.47-2.48, 2 Sn 2.57
Ni 0.0000 0.5000 0.0000  8 Ni 2.47-2.48, 2 Sn 2.57
Ni 0.0000 0.6991 0.3009  8 Ni 2.47-2.59
Ni 0.6991 0.3009 0.0000  8 Ni 2.47-2.59
Ni 0.3009 0.0000 0.6991  8 Ni 2.47-2.59
Ni 0.3009 0.6991 0.0000  8 Ni 2.47-2.59
Ni 0.6991 0.0000 0.3009  8 Ni 2.47-2.59
Ni 0.0000 0.3009 0.6991  8 Ni 2.47-2.59
Ni 0.1576 0.6539 0.6539  8 Ni 2.47-2.59, 1 Sn 2.63
Ni 0.6539 0.6539 0.1576  8 Ni 2.47-2.59, 1 Sn 2.63
Ni 0.6539 0.1576 0.6539  8 Ni 2.47-2.59, 1 Sn 2.63
Ni 0.8424 0.3461 0.3461  8 Ni 2.47-2.59, 1 Sn 2.63
Ni 0.3461 0.3461 0.8424  8 Ni 2.47-2.59, 1 Sn 2.63
Ni 0.3461 0.8424 0.3461  8 Ni 2.47-2.59, 1 Sn 2.63
Sn 0.1097 0.1097 0.1097  6 Ni 2.57-2.63, 1 Sn 2.76
Sn 0.8903 0.8903 0.8903  6 Ni 2.57-2.63, 1 Sn 2.76

Properties
Total energy: -5.6505 eV per atom
Symmetry: R-3m, No. 166


No. 8
DFT (GGA-PBE) results for PCl2 after structural relaxation.

Cell: 5.3407 5.3407 5.3407 Å, 108.28 108.28 111.88°
Last column: nearest neighbours and their distance in Å.
Fractional coordinates of all 6 atoms:
P 0.2500 0.2500 0.0000  8 Cl 2.72, 2 P 2.99
P 0.7500 0.7500 0.0000  8 Cl 2.72, 2 P 2.99
Cl 0.8058 0.3058 0.1116  4 P 2.72
Cl 0.1942 0.6942 0.8884  4 P 2.72
Cl 0.3058 0.1942 0.5000  4 P 2.72
Cl 0.6942 0.8058 0.5000  4 P 2.72

Properties
Total energy: -2.7194 eV per atom
Energy relative to the elements, uncorrected: 91 kJ/mol of formula units
Symmetry: I4/mcm, No. 140